[1]
Below is an optimized crystal structure of SrZrCd2Si, with properties calculated at the PBE level.

Values from the calculation:
Formation energy without anion corrections in kJ/mol of atoms: 64
Volume in Å³/cell: 145.3
Calculated density in g cm⁻³: 4.934
Symmetry: No. 123

Unit cell a=5.071 b=5.651 c=5.071 alpha=90.00 beta=90.00 gamma=90.00
Fractional positions:
1 Sr 0.000 0.500 0.000
2 Si 0.000 0.000 0.000
3 Zr 0.500 0.500 0.500
4 Cd 0.000 0.000 0.500
5 Cd 0.500 0.000 0.000



[2]
Below is an optimized crystal structure of TaCdSi3, with properties calculated at the PBE level.

Values from the calculation:
Formation energy without anion corrections in kJ/mol of atoms: 174
Volume in Å³/cell: 112.6
Distance to the lowest polymorph of the same formula in kcal/mol of atoms: 26.830
Calculated density in g cm⁻³: 5.568
Symmetry: No. 221

Unit cell a=4.829 b=4.829 c=4.829 alpha=90.00 beta=90.00 gamma=90.00
Fractional positions:
1 Si 0.000 0.500 0.000
2 Si 0.000 0.000 0.500
3 Si 0.500 0.000 0.000
4 Cd 0.000 0.000 0.000
5 Ta 0.500 0.500 0.500



[3]
Below is an optimized crystal structure of TaCd3Si, with properties calculated at the PBE level.

Values from the calculation:
Formation energy without anion corrections in kJ/mol of atoms: 143
Volume in Å³/cell: 155.0
Distance to the lowest polymorph of the same formula in kcal/mol of atoms: 4.817
Calculated density in g cm⁻³: 5.852
Symmetry: No. 221

Unit cell a=5.372 b=5.372 c=5.372 alpha=90.00 beta=90.00 gamma=90.00
Fractional positions:
1 Si 0.500 0.500 0.500
2 Cd 0.000 0.500 0.000
3 Cd 0.000 0.000 0.500
4 Cd 0.500 0.000 0.000
5 Ta 0.000 0.000 0.000



[4]
Below is an optimized crystal structure of TaCd3Si, with properties calculated at the PBE level.

Values from the calculation:
Formation energy without anion corrections in kJ/mol of atoms: 122
Volume in Å³/cell: 122.2
Distance to the lowest polymorph of the same formula in kcal/mol of atoms: 0.000
Calculated density in g cm⁻³: 7.421
Symmetry: No. 221

Unit cell a=4.963 b=4.963 c=4.963 alpha=90.00 beta=90.00 gamma=90.00
Fractional positions:
1 Si 0.000 0.000 0.000
2 Cd 0.000 0.500 0.000
3 Cd 0.000 0.000 0.500
4 Cd 0.500 0.000 0.000
5 Ta 0.500 0.500 0.500



[5]
Below is an optimized crystal structure of TaCdSi2, with properties calculated at the PBE level.

Values from the calculation:
Formation energy without anion corrections in kJ/mol of atoms: 31
Volume in Å³/cell: 68.8
Calculated density in g cm⁻³: 8.431
Symmetry: No. 12

Unit cell a=5.294 b=5.329 c=2.948 alpha=74.96 beta=88.03 gamma=119.16
Fractional positions:
1 Cd 0.500 0.500 0.000
2 Si 0.000 0.000 0.000
3 Si 0.500 0.000 0.500
4 Ta 0.000 0.500 0.500



[6]
Below is an optimized crystal structure of TaCdSi2, with properties calculated at the PBE level.

Values from the calculation:
Formation energy without anion corrections in kJ/mol of atoms: 28
Volume in Å³/cell: 69.0
Calculated density in g cm⁻³: 8.407
Symmetry: No. 35

Unit cell a=2.863 b=2.863 c=8.634 alpha=90.00 beta=90.00 gamma=102.70
Fractional positions:
1 Cd 0.500 0.500 0.750
2 Si 0.000 0.000 0.028
3 Si 0.500 0.500 0.249
4 Ta 0.000 0.000 0.472